# 1
Here is crystalline Ga3AsC at its relaxed geometry from Alexandria via LeMat-Bulk. Energies are from GGA-PBE.

Unit cell a=4.3393 b=4.3393 c=4.3393 alpha=90.00 beta=90.00 gamma=90.00
Positions (direct):
As1 0.5000 0.5000 0.5000
C1 0.0000 0.0000 0.0000
Ga1 0.0000 0.5000 0.0000
Ga2 0.0000 0.0000 0.5000
Ga3 0.5000 0.0000 0.0000

Values from the calculation:
Space group = Pm-3m
Total energy = -4.047 eV per atom
Energy above the most stable polymorph in this dataset = 0 meV per atom
Energy of formation = 0.54 eV per atom

# 2
Here is crystalline GaAsC at its relaxed geometry from Alexandria via LeMat-Bulk. Energies are from GGA-PBE.

Unit cell a=4.0957 b=4.2999 c=7.4420 alpha=81.96 beta=86.05 gamma=65.20
Positions (direct):
As1 0.5898 0.2442 0.8496
As2 0.8548 0.6758 0.2784
C1 0.8296 0.4921 0.5333
C2 0.5483 0.6195 0.6484
Ga1 0.5140 0.3613 0.1720
Ga2 0.1824 0.0763 0.6794

Values from the calculation:
Space group = P1
Total energy = -5.231 eV per atom
Energy above the most stable polymorph in this dataset = 59 meV per atom
Energy of formation = 0.40 eV per atom

# 3
Here is crystalline GaAsC at its relaxed geometry from Alexandria via LeMat-Bulk. Energies are from GGA-PBE.

Unit cell a=6.1056 b=6.6702 c=5.5087 alpha=90.00 beta=92.59 gamma=90.00
Positions (direct):
As1 0.1943 0.9793 0.2155
As2 0.8057 0.9793 0.7845
As3 0.1943 0.4793 0.7155
As4 0.8057 0.4793 0.2845
C1 0.6094 0.9288 0.4946
C2 0.3906 0.9288 0.5054
C3 0.6094 0.4288 0.9946
C4 0.3906 0.4288 0.0054
Ga1 0.8058 0.8576 0.2288
Ga2 0.1942 0.8576 0.7712
Ga3 0.8058 0.3576 0.7288
Ga4 0.1942 0.3576 0.2712

Values from the calculation:
Space group = C2
Total energy = -5.239 eV per atom
Energy above the most stable polymorph in this dataset = 51 meV per atom
Energy of formation = 0.39 eV per atom

# 4
Here is crystalline Ga2As2C at its relaxed geometry from Alexandria via LeMat-Bulk. Energies are from GGA-PBE.

Unit cell a=5.7260 b=5.7260 c=5.5536 alpha=90.00 beta=90.00 gamma=90.00
Positions (direct):
As1 0.3307 0.8307 0.0000
As2 0.8307 0.6693 0.0000
As3 0.6693 0.1693 0.0000
As4 0.1693 0.3307 0.0000
C1 0.0000 0.0000 0.0000
C2 0.5000 0.5000 0.0000
Ga1 0.3129 0.8129 0.5000
Ga2 0.8129 0.6871 0.5000
Ga3 0.6871 0.1871 0.5000
Ga4 0.1871 0.3129 0.5000

Values from the calculation:
Space group = P4/mbm
Total energy = -4.072 eV per atom
Energy above the most stable polymorph in this dataset = 0 meV per atom
Energy of formation = 0.84 eV per atom

# 5
Here is crystalline GaRe2AsC at its relaxed geometry from Alexandria via LeMat-Bulk. Energies are from GGA-PBE.

Unit cell a=4.7079 b=3.7211 c=4.7079 alpha=90.00 beta=90.00 gamma=90.00
Positions (direct):
Re1 0.0000 0.0000 0.5000
Re2 0.5000 0.0000 0.0000
As1 0.0000 0.0000 0.0000
C1 0.0000 0.5000 0.0000
Ga1 0.5000 0.5000 0.5000

Values from the calculation:
Space group = P4/mmm
Total energy = -6.372 eV per atom
Energy of formation = 1.99 eV per atom

# 6
Here is crystalline GaAs2RuC at its relaxed geometry from Alexandria via LeMat-Bulk. Energies are from GGA-PBE.

Unit cell a=4.5565 b=3.9210 c=4.5565 alpha=90.00 beta=90.00 gamma=90.00
Positions (direct):
Ru1 0.0000 0.5000 0.0000
As1 0.0000 0.0000 0.5000
As2 0.5000 0.0000 0.0000
C1 0.0000 0.0000 0.0000
Ga1 0.5000 0.5000 0.5000

Values from the calculation:
Space group = P4/mmm
Total energy = -5.322 eV per atom
Energy of formation = 0.84 eV per atom

# 7
Here is crystalline GaAsCSe2 at its relaxed geometry from Alexandria via LeMat-Bulk. Energies are from GGA-PBE.

Unit cell a=4.9386 b=4.9386 c=4.9355 alpha=90.00 beta=90.00 gamma=90.00
Positions (direct):
C1 0.5000 0.5000 0.5000
As1 0.0000 0.0000 0.5000
Ga1 0.0000 0.0000 0.0000
Se1 0.0000 0.5000 0.0000
Se2 0.5000 0.0000 0.0000

Values from the calculation:
Space group = P4/mmm
Total energy = -2.956 eV per atom
Formation energy without anion corrections = 1.818 eV/atom
Energy above the most stable polymorph in this dataset = 842 meV per atom

# 8
Here is crystalline GaAs2CSe at its relaxed geometry from Alexandria via LeMat-Bulk. Energies are from GGA-PBE.

Unit cell a=4.4324 b=4.4324 c=4.4566 alpha=90.00 beta=90.00 gamma=90.00
Positions (direct):
C1 0.0000 0.0000 0.0000
As1 0.0000 0.5000 0.0000
As2 0.5000 0.0000 0.0000
Ga1 0.5000 0.5000 0.5000
Se1 0.0000 0.0000 0.5000

Values from the calculation:
Space group = P4/mmm
Total energy = -4.043 eV per atom
Formation energy without anion corrections = 0.964 eV/atom
Energy above the most stable polymorph in this dataset = 0 meV per atom

# 9
Here is crystalline GaAs2CSe at its relaxed geometry from Alexandria via LeMat-Bulk. Energies are from GGA-PBE.

Unit cell a=4.9071 b=4.9071 c=4.9145 alpha=90.00 beta=90.00 gamma=90.00
Positions (direct):
C1 0.5000 0.5000 0.5000
As1 0.0000 0.5000 0.0000
As2 0.5000 0.0000 0.0000
Ga1 0.0000 0.0000 0.0000
Se1 0.0000 0.0000 0.5000

Values from the calculation:
Space group = P4/mmm
Total energy = -3.090 eV per atom
Formation energy without anion corrections = 1.917 eV/atom
Energy above the most stable polymorph in this dataset = 953 meV per atom

# 10
Here is crystalline GaAsCSe2 at its relaxed geometry from Alexandria via LeMat-Bulk. Energies are from GGA-PBE.

Unit cell a=4.5207 b=4.5207 c=4.3925 alpha=90.00 beta=90.00 gamma=90.00
Positions (direct):
C1 0.0000 0.0000 0.0000
As1 0.0000 0.0000 0.5000
Ga1 0.5000 0.5000 0.5000
Se1 0.0000 0.5000 0.0000
Se2 0.5000 0.0000 0.0000

Values from the calculation:
Space group = P4/mmm
Total energy = -3.798 eV per atom
Formation energy without anion corrections = 0.976 eV/atom
Energy above the most stable polymorph in this dataset = 0 meV per atom

# 11
Here is crystalline Gd2AsC at its relaxed geometry from Alexandria via LeMat-Bulk. Energies are from GGA-PBE.

Unit cell a=4.4465 b=4.4465 c=7.7926 alpha=73.42 beta=73.42 gamma=60.00
Positions (direct):
As1 0.5000 0.5000 0.5000
Gd1 0.0990 0.0990 0.7031
Gd2 0.9010 0.9010 0.2969
C1 0.0000 0.0000 0.0000

Values from the calculation:
Space group = R-3m
Total energy = -10.296 eV per atom
Energy of formation = 0.21 eV per atom

# 12
Here is crystalline Ge3AsC at its relaxed geometry from Alexandria via LeMat-Bulk. Energies are from GGA-PBE.

Unit cell a=4.4140 b=4.4140 c=4.4140 alpha=90.00 beta=90.00 gamma=90.00
Positions (direct):
C1 0.0000 0.0000 0.0000
As1 0.5000 0.5000 0.5000
Ge1 0.0000 0.5000 0.0000
Ge2 0.0000 0.0000 0.5000
Ge3 0.5000 0.0000 0.0000

Values from the calculation:
Space group = Pm-3m
Total energy = -4.634 eV per atom
Energy above the most stable polymorph in this dataset = 0 meV per atom
Energy of formation = 0.91 eV per atom

# 13
Here is crystalline GeAs3C at its relaxed geometry from Alexandria via LeMat-Bulk. Energies are from GGA-PBE.

Unit cell a=4.9111 b=4.9111 c=4.9111 alpha=90.00 beta=90.00 gamma=90.00
Positions (direct):
C1 0.5000 0.5000 0.5000
As1 0.0000 0.5000 0.0000
As2 0.0000 0.0000 0.5000
As3 0.5000 0.0000 0.0000
Ge1 0.0000 0.0000 0.0000

Values from the calculation:
Space group = Pm-3m
Total energy = -3.460 eV per atom
Energy above the most stable polymorph in this dataset = 1054 meV per atom
Energy of formation = 2.10 eV per atom

# 14
Here is crystalline Ge3AsC at its relaxed geometry from Alexandria via LeMat-Bulk. Energies are from GGA-PBE.

Unit cell a=5.0059 b=5.0059 c=5.0059 alpha=90.00 beta=90.00 gamma=90.00
Positions (direct):
C1 0.5000 0.5000 0.5000
As1 0.0000 0.0000 0.0000
Ge1 0.0000 0.5000 0.0000
Ge2 0.0000 0.0000 0.5000
Ge3 0.5000 0.0000 0.0000

Values from the calculation:
Space group = Pm-3m
Total energy = -3.557 eV per atom
Energy above the most stable polymorph in this dataset = 1077 meV per atom
Energy of formation = 1.99 eV per atom

# 15
Here is crystalline GeAs3C at its relaxed geometry from Alexandria via LeMat-Bulk. Energies are from GGA-PBE.

Unit cell a=4.4164 b=4.4164 c=4.4164 alpha=90.00 beta=90.00 gamma=90.00
Positions (direct):
C1 0.0000 0.0000 0.0000
As1 0.0000 0.5000 0.0000
As2 0.0000 0.0000 0.5000
As3 0.5000 0.0000 0.0000
Ge1 0.5000 0.5000 0.5000

Values from the calculation:
Space group = Pm-3m
Total energy = -4.514 eV per atom
Energy above the most stable polymorph in this dataset = 0 meV per atom
Energy of formation = 1.04 eV per atom

# 16
Here is crystalline Hf2GeAsC at its relaxed geometry from Alexandria via LeMat-Bulk. Energies are from GGA-PBE.

Unit cell a=4.9625 b=4.6746 c=4.9625 alpha=90.00 beta=90.00 gamma=90.00
Positions (direct):
C1 0.5000 0.5000 0.5000
As1 0.0000 0.0000 0.0000
Hf1 0.0000 0.0000 0.5000
Hf2 0.5000 0.0000 0.0000
Ge1 0.0000 0.5000 0.0000

Values from the calculation:
Space group = P4/mmm
Total energy = -6.001 eV per atom
Energy of formation = 1.68 eV per atom

# 17
Here is crystalline NiGe2AsC at its relaxed geometry from Alexandria via LeMat-Bulk. Energies are from GGA-PBE.

Unit cell a=4.1552 b=4.4518 c=4.1552 alpha=90.00 beta=90.00 gamma=90.00
Positions (direct):
C1 0.0000 0.0000 0.0000
Ni1 0.5000 0.5000 0.5000
As1 0.0000 0.5000 0.0000
Ge1 0.0000 0.0000 0.5000
Ge2 0.5000 0.0000 0.0000

Values from the calculation:
Space group = P4/mmm
Total energy = -4.739 eV per atom
Energy of formation = 1.04 eV per atom

# 18
Here is crystalline ScGe2AsC at its relaxed geometry from Alexandria via LeMat-Bulk. Energies are from GGA-PBE.

Unit cell a=5.2165 b=4.0963 c=5.2165 alpha=90.00 beta=90.00 gamma=90.00
Positions (direct):
Sc1 0.0000 0.0000 0.0000
C1 0.0000 0.5000 0.0000
As1 0.5000 0.5000 0.5000
Ge1 0.0000 0.0000 0.5000
Ge2 0.5000 0.0000 0.0000

Values from the calculation:
Space group = P4/mmm
Total energy = -4.626 eV per atom
Energy of formation = 1.26 eV per atom

# 19
Here is crystalline GeAs2CSe at its relaxed geometry from Alexandria via LeMat-Bulk. Energies are from GGA-PBE.

Unit cell a=4.3884 b=4.3884 c=4.5307 alpha=90.00 beta=90.00 gamma=90.00
Positions (direct):
C1 0.0000 0.0000 0.0000
As1 0.0000 0.5000 0.0000
As2 0.5000 0.0000 0.0000
Ge1 0.5000 0.5000 0.5000
Se1 0.0000 0.0000 0.5000

Values from the calculation:
Space group = P4/mmm
Total energy = -4.273 eV per atom
Formation energy without anion corrections = 1.051 eV/atom
Energy above the most stable polymorph in this dataset = 0 meV per atom

# 20
Here is crystalline GeAsCSe2 at its relaxed geometry from Alexandria via LeMat-Bulk. Energies are from GGA-PBE.

Unit cell a=4.4801 b=4.4801 c=4.3955 alpha=90.00 beta=90.00 gamma=90.00
Positions (direct):
C1 0.0000 0.0000 0.0000
As1 0.0000 0.0000 0.5000
Ge1 0.5000 0.5000 0.5000
Se1 0.0000 0.5000 0.0000
Se2 0.5000 0.0000 0.0000

Values from the calculation:
Space group = P4/mmm
Total energy = -4.049 eV per atom
Formation energy without anion corrections = 1.043 eV/atom
Energy above the most stable polymorph in this dataset = 0 meV per atom

# 21
Here is crystalline GeAsCSe2 at its relaxed geometry from Alexandria via LeMat-Bulk. Energies are from GGA-PBE.

Unit cell a=4.9646 b=4.9646 c=4.9898 alpha=90.00 beta=90.00 gamma=90.00
Positions (direct):
C1 0.5000 0.5000 0.5000
As1 0.0000 0.0000 0.5000
Ge1 0.0000 0.0000 0.0000
Se1 0.0000 0.5000 0.0000
Se2 0.5000 0.0000 0.0000

Values from the calculation:
Space group = P4/mmm
Total energy = -3.181 eV per atom
Formation energy without anion corrections = 1.911 eV/atom
Energy above the most stable polymorph in this dataset = 867 meV per atom

# 22
Here is crystalline GeAs2CSe at its relaxed geometry from Alexandria via LeMat-Bulk. Energies are from GGA-PBE.

Unit cell a=4.9613 b=4.9613 c=4.9269 alpha=90.00 beta=90.00 gamma=90.00
Positions (direct):
C1 0.5000 0.5000 0.5000
As1 0.0000 0.5000 0.0000
As2 0.5000 0.0000 0.0000
Ge1 0.0000 0.0000 0.0000
Se1 0.0000 0.0000 0.5000

Values from the calculation:
Space group = P4/mmm
Total energy = -3.320 eV per atom
Formation energy without anion corrections = 2.005 eV/atom
Energy above the most stable polymorph in this dataset = 954 meV per atom

# 23
Here is crystalline InSi2AsH24C8 at its relaxed geometry from Alexandria via LeMat-Bulk. Energies are from GGA-PBE.

Unit cell a=9.6704 b=10.0886 c=10.3587 alpha=77.21 beta=81.00 gamma=64.35
Positions (direct):
In1 0.5392 0.6494 0.5749
In2 0.4608 0.3506 0.4251
Si1 0.6812 0.6285 0.1689
Si2 0.2467 0.8155 0.2566
Si3 0.7533 0.1845 0.7434
Si4 0.3188 0.3715 0.8311
As1 0.5183 0.3796 0.6670
As2 0.4817 0.6204 0.3330
H1 0.8555 0.5498 0.5066
H2 0.8483 0.9089 0.8108
H3 0.3403 0.9418 0.5927
H4 0.2831 0.3423 0.0769
H5 0.8174 0.5716 0.6766
H6 0.3478 0.0024 0.1319
H7 0.1726 0.2131 0.8912
H8 0.7012 0.9769 0.6987
H9 0.7169 0.6577 0.9231
H10 0.6235 0.1638 0.2441
H11 0.1517 0.0911 0.1892
H12 0.7786 0.7625 0.2827
H13 0.8274 0.7869 0.1088
H14 0.2214 0.2375 0.7173
H15 0.3623 0.1083 0.8276
H16 0.6597 0.0582 0.4073
H17 0.1740 0.6476 0.8175
H18 0.7819 0.7313 0.5493
H19 0.8171 0.3302 0.8727
H20 0.4169 0.4232 0.0164
H21 0.1826 0.4284 0.3234
H22 0.0833 0.7139 0.4214
H23 0.0182 0.0922 0.6374
H24 0.0782 0.8654 0.0782
H25 0.9818 0.9078 0.3626
H26 0.6377 0.8917 0.1724
H27 0.7594 0.1734 0.3361
H28 0.2741 0.7768 0.0200
H29 0.1179 0.8468 0.4839
H30 0.6522 0.9976 0.8681
H31 0.8260 0.3524 0.1825
H32 0.5249 0.7720 0.9719
H33 0.8905 0.4160 0.2986
H34 0.9167 0.2861 0.5786
H35 0.3765 0.8362 0.7559
H36 0.1829 0.6698 0.1273
H37 0.1445 0.4502 0.4934
H38 0.4751 0.2280 0.0281
H39 0.2406 0.8266 0.6639
H40 0.1095 0.5840 0.7014
H41 0.8821 0.1532 0.5161
H42 0.0509 0.5537 0.8726
H43 0.9218 0.1346 0.9218
H44 0.2988 0.0231 0.3013
H45 0.5831 0.5768 0.9836
H46 0.2181 0.2687 0.4507
H47 0.7259 0.2232 0.9800
H48 0.9491 0.4463 0.1274
C1 0.7775 0.6215 0.5764
C2 0.2636 0.9998 0.2159
C3 0.0938 0.8209 0.3946
C4 0.8084 0.2223 0.8939
C5 0.6494 0.1643 0.3435
C6 0.3506 0.8357 0.6565
C7 0.1478 0.5568 0.8021
C8 0.7364 0.0002 0.7841
C9 0.2642 0.2180 0.8150
C10 0.3801 0.3382 0.0038
C11 0.7358 0.7820 0.1850
C12 0.8522 0.4432 0.1979
C13 0.6199 0.6618 0.9962
C14 0.1916 0.7777 0.1061
C15 0.9062 0.1791 0.6054
C16 0.2225 0.3785 0.4236

Values from the calculation:
Space group = P-1
Total energy = -4.996 eV per atom

# 24
Here is crystalline La2AsHC at its relaxed geometry from Alexandria via LeMat-Bulk. Energies are from GGA-PBE.

Unit cell a=5.1341 b=4.0776 c=5.1341 alpha=90.00 beta=90.00 gamma=90.00
Positions (direct):
H1 0.5000 0.5000 0.5000
As1 0.0000 0.5000 0.0000
C1 0.0000 0.0000 0.0000
La1 0.0000 0.0000 0.5000
La2 0.5000 0.0000 0.0000

Values from the calculation:
Space group = P4/mmm
Total energy = -5.445 eV per atom